1.
Material: Ni3SnH
Method: DFT, PBEsol
State: relaxed

Values from the calculation:
The calculation puts the energy at -5.453 eV per atom.

Cell: 3.7182 3.7182 3.7182 Å, 90.00 90.00 90.00°
Last column: nearest neighbours and their distance in Å.
Element x y z (fractional)
Ni 0.0000 0.0000 0.5000  2 H 1.86
Ni 0.0000 0.5000 0.0000  2 H 1.86
Ni 0.5000 0.0000 0.0000  2 H 1.86
Sn 0.5000 0.5000 0.5000  12 Ni 2.63
H 0.0000 0.0000 0.0000  6 Ni 1.86

---

2.
Material: Ni2SnHW
Method: DFT, PBEsol
State: relaxed

Values from the calculation:
The calculation puts the energy at -5.514 eV per atom.

Cell: 4.7187 4.7187 3.1499 Å, 90.00 90.00 90.00°
Last column: nearest neighbours and their distance in Å.
Element x y z (fractional)
Ni 0.0000 0.5000 0.0000  2 Sn 2.36
Ni 0.5000 0.0000 0.0000  2 Sn 2.36
Sn 0.0000 0.0000 0.0000  2 H 1.57
H 0.0000 0.0000 0.5000  2 Sn 1.57
W 0.5000 0.5000 0.5000  8 Ni 2.84, 2 W 3.15

---

3.
Material: Zr6NiSn2H10
Method: DFT, PBEsol
State: relaxed

Values from the calculation:
The calculation puts the energy at -5.933 eV per atom.

Cell: 8.0431 8.0431 7.2906 Å, 90.00 90.00 120.00°
Last column: nearest neighbours and their distance in Å.
Element x y z (fractional)
Zr 0.0000 0.7417 0.0000  7 H 2.08-2.14
Zr 0.0000 0.7417 0.5000  7 H 2.08-2.14
Zr 0.0472 0.4154 0.2500  5 H 2.07-2.12
Zr 0.2583 0.2583 0.0000  7 H 2.08-2.14
Zr 0.2583 0.2583 0.5000  7 H 2.08-2.14
Zr 0.3683 0.9528 0.2500  5 H 2.07-2.12
Zr 0.4154 0.0472 0.7500  5 H 2.07-2.12
Zr 0.5846 0.6317 0.2500  5 H 2.07-2.12
Zr 0.6317 0.5846 0.7500  5 H 2.07-2.12
Zr 0.7417 0.0000 0.0000  7 H 2.08-2.14
Zr 0.7417 0.0000 0.5000  7 H 2.08-2.14
Zr 0.9528 0.3683 0.7500  5 H 2.07-2.12
Ni 0.0000 0.0000 0.2500  5 H 1.68-1.82
Ni 0.0000 0.0000 0.7500  5 H 1.68-1.82
Sn 0.3333 0.6667 0.5398  6 H 2.91-2.97, 9 Zr 3.03-3.18, 1 Sn 3.06
Sn 0.3333 0.6667 0.9602  6 H 2.91-2.97, 9 Zr 3.03-3.18, 1 Sn 3.06
Sn 0.6667 0.3333 0.0398  6 H 2.91-2.97, 9 Zr 3.03-3.18, 1 Sn 3.06
Sn 0.6667 0.3333 0.4602  6 H 2.91-2.97, 9 Zr 3.03-3.18, 1 Sn 3.06
H 0.0000 0.0000 0.0000  2 Ni 1.82
H 0.0000 0.0000 0.5000  2 Ni 1.82
H 0.0000 0.2729 0.0000  4 Zr 2.08-2.14, 3 H 2.15-2.20
H 0.0000 0.2729 0.5000  4 Zr 2.08-2.14, 3 H 2.15-2.20
H 0.1042 0.7027 0.2500  1 H 2.05, 4 Zr 2.07-2.12
H 0.1179 0.8771 0.7500  1 Ni 1.68
H 0.1229 0.2408 0.7500  1 Ni 1.68
H 0.2408 0.1229 0.2500  1 Ni 1.68
H 0.2729 0.0000 0.0000  4 Zr 2.08-2.14, 3 H 2.15-2.20
H 0.2729 0.0000 0.5000  4 Zr 2.08-2.14, 3 H 2.15-2.20
H 0.2973 0.4015 0.2500  1 H 2.05, 4 Zr 2.07-2.12
H 0.4015 0.2973 0.7500  1 H 2.05, 4 Zr 2.07-2.12
H 0.5985 0.8958 0.2500  1 H 2.05, 4 Zr 2.07-2.12
H 0.7027 0.1042 0.7500  1 H 2.05, 4 Zr 2.07-2.12
H 0.7271 0.7271 0.0000  4 Zr 2.08-2.14, 3 H 2.15-2.20
H 0.7271 0.7271 0.5000  4 Zr 2.08-2.14, 3 H 2.15-2.20
H 0.7592 0.8821 0.7500  1 Ni 1.68
H 0.8771 0.1179 0.2500  1 Ni 1.68
H 0.8821 0.7592 0.2500  1 Ni 1.68
H 0.8958 0.5985 0.7500  1 H 2.05, 4 Zr 2.07-2.12

---

4.
Material: SrNi2H2
Method: DFT, PBEsol
State: relaxed

Values from the calculation:
The calculation puts the energy at -4.289 eV per atom.

Cell: 3.4531 3.4531 10.0892 Å, 90.00 90.00 90.00°
Last column: nearest neighbours and their distance in Å.
Element x y z (fractional)
Sr 0.0000 0.0000 0.0000  2 Ni 2.80, 8 H 3.06
Sr 0.5000 0.5000 0.5000  2 Ni 2.80, 8 H 3.06
Ni 0.0000 0.0000 0.2774  4 H 1.75
Ni 0.0000 0.0000 0.7226  4 H 1.75
Ni 0.5000 0.5000 0.2226  4 H 1.75
Ni 0.5000 0.5000 0.7774  4 H 1.75
H 0.0000 0.5000 0.2500  4 Ni 1.75
H 0.0000 0.5000 0.7500  4 Ni 1.75
H 0.5000 0.0000 0.2500  4 Ni 1.75
H 0.5000 0.0000 0.7500  4 Ni 1.75

---

5.
Material: Sr2NiHW
Method: DFT, PBEsol
State: relaxed

Values from the calculation:
The calculation puts the energy at -4.599 eV per atom.

Cell: 5.2108 5.2108 3.7353 Å, 90.00 90.00 90.00°
Last column: nearest neighbours and their distance in Å.
Element x y z (fractional)
Sr 0.0000 0.5000 0.0000  2 H 2.61
Sr 0.5000 0.0000 0.0000  2 H 2.61
Ni 0.0000 0.0000 0.5000  8 Sr 3.21
H 0.5000 0.5000 0.0000  2 W 1.87
W 0.5000 0.5000 0.5000  2 H 1.87

---

6.
Material: Ni2TeH2
Method: DFT, PBEsol
State: relaxed

Values from the calculation:
The calculation puts the energy at -4.471 eV per atom.

Cell: 3.4811 3.4811 8.7292 Å, 90.00 90.00 90.00°
Last column: nearest neighbours and their distance in Å.
Element x y z (fractional)
Ni 0.0000 0.5000 0.2500  4 H 1.78
Ni 0.0000 0.5000 0.7500  4 H 1.78
Ni 0.5000 0.0000 0.2500  4 H 1.78
Ni 0.5000 0.0000 0.7500  4 H 1.78
Te 0.0000 0.0000 0.0000  2 H 2.57, 8 Ni 2.79
Te 0.5000 0.5000 0.5000  2 H 2.57, 8 Ni 2.79
H 0.0000 0.0000 0.2944  4 Ni 1.78
H 0.0000 0.0000 0.7056  4 Ni 1.78
H 0.5000 0.5000 0.2056  4 Ni 1.78
H 0.5000 0.5000 0.7944  4 Ni 1.78

---

7.
Material: NiTe3H
Method: DFT, PBEsol
State: relaxed

Values from the calculation:
The calculation puts the energy at -3.265 eV per atom.

Cell: 5.0086 5.0086 5.0086 Å, 90.00 90.00 90.00°
Last column: nearest neighbours and their distance in Å.
Element x y z (fractional)
Ni 0.0000 0.0000 0.0000  6 Te 2.50
Te 0.0000 0.0000 0.5000  2 Ni 2.50
Te 0.0000 0.5000 0.0000  2 Ni 2.50
Te 0.5000 0.0000 0.0000  2 Ni 2.50
H 0.5000 0.5000 0.5000  12 Te 3.54

---

8.
Material: Ti3NiH
Method: DFT, PBEsol
State: relaxed

Values from the calculation:
The calculation puts the energy at -7.102 eV per atom.

Cell: 3.9253 3.9253 3.9253 Å, 90.00 90.00 90.00°
Last column: nearest neighbours and their distance in Å.
Element x y z (fractional)
Ti 0.0000 0.0000 0.5000  2 H 1.96
Ti 0.0000 0.5000 0.0000  2 H 1.96
Ti 0.5000 0.0000 0.0000  2 H 1.96
Ni 0.5000 0.5000 0.5000  12 Ti 2.78
H 0.0000 0.0000 0.0000  6 Ti 1.96

---

9.
Material: Ti2NiH
Method: DFT, PBEsol
State: relaxed

Values from the calculation:
The calculation puts the energy at -6.870 eV per atom.

Cell: 7.9570 7.9570 7.9570 Å, 60.00 60.00 60.00°
Last column: nearest neighbours and their distance in Å.
Element x y z (fractional)
Ti 0.0000 0.0000 0.0000  2 H 2.44, 6 Ni 2.48
Ti 0.0000 0.0000 0.5000  2 H 2.44, 6 Ni 2.48
Ti 0.0000 0.5000 0.0000  2 H 2.44, 6 Ni 2.48
Ti 0.1844 0.1844 0.5656  3 H 2.12-2.14
Ti 0.1844 0.5656 0.1844  3 H 2.12-2.14
Ti 0.1844 0.5656 0.5656  3 H 2.12-2.14
Ti 0.4344 0.4344 0.8156  3 H 2.12-2.14
Ti 0.4344 0.8156 0.4344  3 H 2.12-2.14
Ti 0.4344 0.8156 0.8156  3 H 2.12-2.14
Ti 0.5000 0.0000 0.0000  2 H 2.44, 6 Ni 2.48
Ti 0.5656 0.1844 0.1844  3 H 2.12-2.14
Ti 0.5656 0.1844 0.5656  3 H 2.12-2.14
Ti 0.5656 0.5656 0.1844  3 H 2.12-2.14
Ti 0.8156 0.4344 0.4344  3 H 2.12-2.14
Ti 0.8156 0.4344 0.8156  3 H 2.12-2.14
Ti 0.8156 0.8156 0.4344  3 H 2.12-2.14
Ni 0.1449 0.7850 0.7850  1 H 1.75
Ni 0.2150 0.2150 0.2150  1 H 1.75
Ni 0.2150 0.2150 0.8551  1 H 1.75
Ni 0.2150 0.8551 0.2150  1 H 1.75
Ni 0.7850 0.1449 0.7850  1 H 1.75
Ni 0.7850 0.7850 0.1449  1 H 1.75
Ni 0.7850 0.7850 0.7850  1 H 1.75
Ni 0.8551 0.2150 0.2150  1 H 1.75
H 0.0000 0.5000 0.5000  6 Ti 2.12
H 0.1250 0.1250 0.1250  4 Ni 1.75
H 0.3750 0.3750 0.3750  6 Ti 2.14
H 0.5000 0.0000 0.5000  6 Ti 2.12
H 0.5000 0.5000 0.0000  6 Ti 2.12
H 0.5000 0.5000 0.5000  6 Ti 2.12
H 0.6250 0.6250 0.6250  6 Ti 2.14
H 0.8750 0.8750 0.8750  4 Ni 1.75

---

10.
Material: TiNi2H2
Method: DFT, PBEsol
State: relaxed

Values from the calculation:
The calculation puts the energy at -5.768 eV per atom.

Cell: 3.2291 3.2291 7.7529 Å, 90.00 90.00 90.00°
Last column: nearest neighbours and their distance in Å.
Element x y z (fractional)
Ti 0.0000 0.0000 0.0000  8 H 2.52, 10 Ni 2.60-2.62
Ti 0.5000 0.5000 0.5000  8 H 2.52, 10 Ni 2.60-2.62
Ni 0.0000 0.0000 0.3353  4 H 1.74
Ni 0.0000 0.0000 0.6647  4 H 1.74
Ni 0.5000 0.5000 0.1647  4 H 1.74
Ni 0.5000 0.5000 0.8353  4 H 1.74
H 0.0000 0.5000 0.2500  4 Ni 1.74
H 0.0000 0.5000 0.7500  4 Ni 1.74
H 0.5000 0.0000 0.2500  4 Ni 1.74
H 0.5000 0.0000 0.7500  4 Ni 1.74

---

11.
Material: YTiNi2H
Method: DFT, PBEsol
State: relaxed

Values from the calculation:
The calculation puts the energy at -4.128 eV per atom.

Cell: 4.5338 4.5338 5.1317 Å, 90.00 90.00 90.00°
Last column: nearest neighbours and their distance in Å.
Element x y z (fractional)
Y 0.0000 0.0000 0.0000  4 Ni 2.27
Ti 0.0000 0.0000 0.5000  2 Y 2.57
Ni 0.0000 0.5000 0.0000  2 Y 2.27
Ni 0.5000 0.0000 0.0000  2 Y 2.27
H 0.5000 0.5000 0.5000  4 Ti 3.21, 8 Ni 3.42

---

12.
Material: ZrTiNi2H6
Method: DFT, PBEsol
State: relaxed

Values from the calculation:
The calculation puts the energy at -5.406 eV per atom.

Cell: 4.1797 5.3277 5.3277 Å, 37.23 90.00 90.00°
Last column: nearest neighbours and their distance in Å.
Element x y z (fractional)
Zr 0.0000 0.0000 0.0000  9 H 2.08-2.25
Ti 0.5000 0.7179 0.7179  7 H 1.95-2.03
Ni 0.0000 0.2862 0.2862  4 H 1.61-1.70
Ni 0.5000 0.4251 0.4251  4 H 1.65-1.70
H 0.0000 0.7835 0.7835  2 Ni 1.70
H 0.2553 0.5532 0.5532  1 Ni 1.65
H 0.2757 0.1747 0.1747  1 Ni 1.61
H 0.5000 0.9185 0.9185  2 Ni 1.70
H 0.7243 0.1747 0.1747  1 Ni 1.61
H 0.7447 0.5532 0.5532  1 Ni 1.65

---

13.
Material: NiH2W
Method: DFT, PBEsol
State: relaxed

Values from the calculation:
The calculation puts the energy at -6.489 eV per atom.

Cell: 3.9643 3.9643 8.1658 Å, 90.00 90.00 90.00°
Last column: nearest neighbours and their distance in Å.
Element x y z (fractional)
Ni 0.0000 0.0000 0.0000  4 H 1.63
Ni 0.0000 0.5000 0.2500  4 H 1.63
Ni 0.5000 0.0000 0.7500  4 H 1.63
Ni 0.5000 0.5000 0.5000  4 H 1.63
H 0.1990 0.2500 0.1250  2 Ni 1.63
H 0.2500 0.6990 0.3750  2 Ni 1.63
H 0.2500 0.8010 0.8750  2 Ni 1.63
H 0.3010 0.2500 0.6250  2 Ni 1.63
H 0.6990 0.7500 0.6250  2 Ni 1.63
H 0.7500 0.1990 0.8750  2 Ni 1.63
H 0.7500 0.3010 0.3750  2 Ni 1.63
H 0.8010 0.7500 0.1250  2 Ni 1.63
W 0.0000 0.0000 0.5000  4 H 1.86
W 0.0000 0.5000 0.7500  4 H 1.86
W 0.5000 0.0000 0.2500  4 H 1.86
W 0.5000 0.5000 0.0000  4 H 1.86

---

14.
Material: YNi2H
Method: DFT, PBEsol
State: relaxed

Values from the calculation:
The calculation puts the energy at -5.162 eV per atom.

Cell: 5.9548 5.9548 5.9548 Å, 90.00 90.00 90.00°
Last column: nearest neighbours and their distance in Å.
Element x y z (fractional)
Y 0.0000 0.0000 0.0000  8 Ni 2.58
Y 0.0000 0.5000 0.5000  8 Ni 2.58
Y 0.5000 0.0000 0.5000  8 Ni 2.58
Y 0.5000 0.5000 0.0000  8 Ni 2.58
Ni 0.2500 0.2500 0.2500  4 H 2.58, 4 Y 2.58
Ni 0.2500 0.2500 0.7500  4 H 2.58, 4 Y 2.58
Ni 0.2500 0.7500 0.2500  4 H 2.58, 4 Y 2.58
Ni 0.2500 0.7500 0.7500  4 H 2.58, 4 Y 2.58
Ni 0.7500 0.2500 0.2500  4 H 2.58, 4 Y 2.58
Ni 0.7500 0.2500 0.7500  4 H 2.58, 4 Y 2.58
Ni 0.7500 0.7500 0.2500  4 H 2.58, 4 Y 2.58
Ni 0.7500 0.7500 0.7500  4 Y 2.58, 4 H 2.58
H 0.0000 0.0000 0.5000  8 Ni 2.58
H 0.0000 0.5000 0.0000  8 Ni 2.58
H 0.5000 0.0000 0.0000  8 Ni 2.58
H 0.5000 0.5000 0.5000  8 Ni 2.58

---

15.
Material: Y2NiH2
Method: DFT, PBEsol
State: relaxed

Values from the calculation:
The calculation puts the energy at -5.817 eV per atom.

Cell: 3.4141 3.4141 12.2392 Å, 90.00 90.00 90.00°
Last column: nearest neighbours and their distance in Å.
Element x y z (fractional)
Y 0.0000 0.0000 0.1364  4 H 2.20
Y 0.0000 0.0000 0.8636  4 H 2.20
Y 0.5000 0.5000 0.3636  4 H 2.20
Y 0.5000 0.5000 0.6364  4 H 2.20
Ni 0.0000 0.0000 0.5000  8 Y 2.94
Ni 0.5000 0.5000 0.0000  8 Y 2.94
H 0.0000 0.5000 0.2500  4 Y 2.20, 4 H 2.41
H 0.0000 0.5000 0.7500  4 Y 2.20, 4 H 2.41
H 0.5000 0.0000 0.2500  4 Y 2.20, 4 H 2.41
H 0.5000 0.0000 0.7500  4 Y 2.20, 4 H 2.41

---

16.
Material: YZr2NiH
Method: DFT, PBEsol
State: relaxed

Values from the calculation:
The calculation puts the energy at -6.945 eV per atom.

Cell: 4.2032 4.2032 4.7789 Å, 90.00 90.00 90.00°
Last column: nearest neighbours and their distance in Å.
Element x y z (fractional)
Y 0.0000 0.0000 0.0000  2 H 2.39
Zr 0.0000 0.5000 0.5000  2 H 2.10
Zr 0.5000 0.0000 0.5000  2 H 2.10
Ni 0.5000 0.5000 0.0000  4 Y 2.97, 8 Zr 3.18
H 0.0000 0.0000 0.5000  4 Zr 2.10

---

17.
Material: ZnNi3H
Method: DFT, PBEsol
State: relaxed

Values from the calculation:
The calculation puts the energy at -4.870 eV per atom.

Cell: 3.5716 3.5716 3.5716 Å, 90.00 90.00 90.00°
Last column: nearest neighbours and their distance in Å.
Element x y z (fractional)
Zn 0.0000 0.0000 0.0000  12 Ni 2.53
Ni 0.0000 0.5000 0.5000  2 H 1.79
Ni 0.5000 0.0000 0.5000  2 H 1.79
Ni 0.5000 0.5000 0.0000  2 H 1.79
H 0.5000 0.5000 0.5000  6 Ni 1.79

---

18.
Material: Zr3NiH
Method: DFT, PBEsol
State: relaxed

Values from the calculation:
The calculation puts the energy at -7.476 eV per atom.

Cell: 4.2721 4.2721 4.2721 Å, 90.00 90.00 90.00°
Last column: nearest neighbours and their distance in Å.
Element x y z (fractional)
Zr 0.0000 0.0000 0.5000  2 H 2.14
Zr 0.0000 0.5000 0.0000  2 H 2.14
Zr 0.5000 0.0000 0.0000  2 H 2.14
Ni 0.5000 0.5000 0.5000  12 Zr 3.02
H 0.0000 0.0000 0.0000  6 Zr 2.14

---

19.
Material: ZrNi3H
Method: DFT, PBEsol
State: relaxed

Values from the calculation:
The calculation puts the energy at -6.426 eV per atom.

Cell: 3.7620 3.7620 3.7620 Å, 90.00 90.00 90.00°
Last column: nearest neighbours and their distance in Å.
Element x y z (fractional)
Zr 0.0000 0.0000 0.0000  12 Ni 2.66
Ni 0.0000 0.5000 0.5000  2 H 1.88
Ni 0.5000 0.0000 0.5000  2 H 1.88
Ni 0.5000 0.5000 0.0000  2 H 1.88
H 0.5000 0.5000 0.5000  6 Ni 1.88

---

20.
Material: Zr2NiH2
Method: DFT, PBEsol
State: relaxed

Values from the calculation:
The calculation puts the energy at -6.672 eV per atom.

Cell: 3.1381 3.1381 11.9318 Å, 90.00 90.00 90.00°
Last column: nearest neighbours and their distance in Å.
Element x y z (fractional)
Zr 0.0000 0.0000 0.1360  4 H 2.08
Zr 0.0000 0.0000 0.8640  4 H 2.08
Zr 0.5000 0.5000 0.3640  4 H 2.08
Zr 0.5000 0.5000 0.6360  4 H 2.08
Ni 0.0000 0.0000 0.5000  8 Zr 2.75
Ni 0.5000 0.5000 0.0000  8 Zr 2.75
H 0.0000 0.5000 0.2500  4 Zr 2.08, 4 H 2.22
H 0.0000 0.5000 0.7500  4 Zr 2.08, 4 H 2.22
H 0.5000 0.0000 0.2500  4 Zr 2.08, 4 H 2.22
H 0.5000 0.0000 0.7500  4 Zr 2.08, 4 H 2.22